## SrCl3F12 (GGA-PBE)

Data for a relaxed structure of SrCl3F12.

Cell: 11.199 11.199 8.703 Å, 49.96 49.96 60.00°
Site moments in Bohr magnetons follow the coordinates.
Atoms (fractional coordinates):
1 Cl 0.516 0.824 0.505  0.14
2 Cl 0.824 0.155 0.505  0.14
3 Cl 0.324 0.016 0.005  0.14
4 Cl 0.016 0.655 0.005  0.14
5 Cl 0.155 0.516 0.505  0.14
6 Cl 0.655 0.324 0.005  0.14
7 F 0.830 0.683 0.015  0.04
8 F 0.710 0.357 0.480  0.04
9 F 0.475 0.428 0.025  0.06
10 F 0.952 0.857 0.980  0.04
11 F 0.072 0.475 0.025  0.06
12 F 0.330 0.972 0.515  0.04
13 F 0.184 0.634 0.995  0.05
14 F 0.684 0.688 0.495  0.05
15 F 0.183 0.330 0.515  0.04
16 F 0.188 0.184 0.995  0.05
17 F 0.428 0.072 0.025  0.06
18 F 0.857 0.210 0.980  0.04
19 F 0.452 0.710 0.480  0.04
20 F 0.683 0.472 0.015  0.04
21 F 0.472 0.830 0.015  0.04
22 F 0.972 0.183 0.515  0.04
23 F 0.210 0.952 0.980  0.04
24 F 0.975 0.572 0.525  0.06
25 F 0.134 0.684 0.495  0.05
26 F 0.688 0.134 0.495  0.05
27 F 0.572 0.928 0.525  0.06
28 F 0.928 0.975 0.525  0.06
29 F 0.357 0.452 0.480  0.04
30 F 0.634 0.188 0.995  0.05
31 Sr 0.083 0.083 0.752  0.00
32 Sr 0.583 0.583 0.252  0.00

Properties
**Energy relative to the elements, uncorrected**: -1.235 eV per atom
**M_tot**: 0.0708 μB/atom

## NaHo2PaS6 (GGA-PBE)

Data for a relaxed structure of NaHo2PaS6.

Cell: 6.926 6.925 7.384 Å, 62.03 62.04 60.00°
Atoms (fractional coordinates):
1 Ho 0.009 0.009 0.973
2 Ho 0.520 0.520 0.440
3 S 0.230 0.929 0.243
4 S 0.145 0.382 0.752
5 S 0.929 0.597 0.243
6 S 0.382 0.721 0.752
7 S 0.597 0.231 0.243
8 S 0.721 0.144 0.752
9 Na 0.804 0.804 0.588
10 Pa 0.323 0.323 0.031

Properties
**Energy relative to the elements, uncorrected**: -1.770 eV per atom
**M_tot**: 0.0000 μB/atom

## Zr2Mn2Nb (GGA-PBE)

Data for a relaxed structure of Zr2Mn2Nb.

Cell: 4.082 4.082 6.219 Å, 70.84 70.84 90.00°
Site moments in Bohr magnetons follow the coordinates.
Atoms (fractional coordinates):
1 Mn 0.412 0.412 0.175  1.14
2 Mn 0.588 0.588 0.825  1.14
3 Zr 0.750 0.250 0.500  -0.02
4 Zr 0.250 0.750 0.500  -0.02
5 Nb 0.000 0.000 0.000  -0.22

Properties
**E_form**: 2.455 eV per formula unit
**Energy relative to the lowest polymorph listed for this composition**: 0.469 eV/atom
**M_tot**: 0.4209 μB/atom

## K2LiCd2 (GGA-PBE)

Data for a relaxed structure of K2LiCd2.

Cell: 5.191 5.191 8.508 Å, 72.24 72.24 90.00°
Atoms (fractional coordinates):
1 Li 0.000 0.000 0.000
2 K 0.250 0.750 0.500
3 K 0.750 0.250 0.500
4 Cd 0.591 0.591 0.819
5 Cd 0.409 0.409 0.181

Properties
**E_form**: 0.920 eV per formula unit
**Energy relative to the lowest polymorph listed for this composition**: 0.189 eV/atom
**M_tot**: 0.0000 μB/atom

## YNb (GGA-PBE)

Data for a relaxed structure of YNb.

Cell: 3.030 3.030 5.061 Å, 90.00 90.00 90.00°
Atoms (fractional coordinates):
1 Nb 0.500 0.500 0.000
2 Y 0.000 0.000 0.500

Properties
**E_form**: 0.832 eV per formula unit
**Energy relative to the lowest polymorph listed for this composition**: 0.296 eV/atom
**M_tot**: 0.0000 μB/atom

## V2HgAu2 (GGA-PBE)

Data for a relaxed structure of V2HgAu2.

Cell: 7.454 7.454 3.235 Å, 90.00 90.00 90.00°
Atoms (fractional coordinates):
1 Au 0.695 0.805 0.500
2 Au 0.305 0.195 0.500
3 Au 0.805 0.305 0.500
4 Au 0.195 0.695 0.500
5 V 0.591 0.091 0.000
6 V 0.909 0.591 0.000
7 V 0.091 0.409 0.000
8 V 0.409 0.909 0.000
9 Hg 0.000 0.000 0.000
10 Hg 0.500 0.500 0.000

Properties
**E_form**: 1.314 eV per formula unit
**Energy relative to the lowest polymorph listed for this composition**: 0.001 eV/atom
**M_tot**: 0.0000 μB/atom